Tb2CeHo3S6 | PBE | relaxed

Summary:
The density of states at the Fermi level comes out at 0.7943 states/eV/atom. Its space group is C2/m, No. 12. The value obtained for the total magnetic moment is 0.071 μB per atom. For the volume, the calculation gives 256.1 Å³ per cell. As for the density: 7.43 g cm⁻³. Its formation energy (no corrections) is -2.00 eV/atom.

Structure (POSCAR):
```
Tb2CeHo3S6
1.0
8.551 -1.953 0.000
8.551 1.953 0.000
-1.836 0.000 7.664
Tb Ce Ho S
2 1 3 6
Direct
0.165 0.165 0.330
0.835 0.835 0.670
0.500 0.500 0.000
0.165 0.165 0.835
0.500 0.500 0.500
0.835 0.835 0.165
0.001 0.001 0.741
0.329 0.329 0.918
0.333 0.333 0.414
0.667 0.667 0.586
0.671 0.671 0.082
0.999 0.999 0.259
```

***

MgZnPb2 | PBE | relaxed

Summary:
The density of states at the Fermi level comes out at 0.3081 states/eV/atom. The value obtained for the formation enthalpy at 0 K is 10 meV per atom. Its space group is P4mm, No. 99. The polymorph energy (0 for the lowest one) comes out at 0 meV per atom. The value obtained for the total magnetic moment is 0.000 μB per atom. For the volume, the calculation gives 101.1 Å³ per cell. As for the density: 8.28 g cm⁻³.

Structure (POSCAR):
```
MgZnPb2
1.0
3.488 0.000 0.000
0.000 3.488 0.000
0.000 0.000 8.312
Mg Zn Pb
1 1 2
Direct
0.000 0.000 0.000
0.500 0.500 0.820
0.000 0.000 0.591
0.500 0.500 0.249
```

***

Please write out number 1 again, unchanged.
Tb2CeHo3S6 | PBE | relaxed

Summary:
The density of states at the Fermi level comes out at 0.7943 states/eV/atom. Its space group is C2/m, No. 12. The value obtained for the total magnetic moment is 0.071 μB per atom. For the volume, the calculation gives 256.1 Å³ per cell. As for the density: 7.43 g cm⁻³. Its formation energy (no corrections) is -2.00 eV/atom.

Structure (POSCAR):
```
Tb2CeHo3S6
1.0
8.551 -1.953 0.000
8.551 1.953 0.000
-1.836 0.000 7.664
Tb Ce Ho S
2 1 3 6
Direct
0.165 0.165 0.330
0.835 0.835 0.670
0.500 0.500 0.000
0.165 0.165 0.835
0.500 0.500 0.500
0.835 0.835 0.165
0.001 0.001 0.741
0.329 0.329 0.918
0.333 0.333 0.414
0.667 0.667 0.586
0.671 0.671 0.082
0.999 0.999 0.259
```

***

Among the records above, which one has the highest density?
MgZnPb2

***

What did the second record say?
MgZnPb2 | PBE | relaxed

Summary:
The density of states at the Fermi level comes out at 0.3081 states/eV/atom. The value obtained for the formation enthalpy at 0 K is 10 meV per atom. Its space group is P4mm, No. 99. The polymorph energy (0 for the lowest one) comes out at 0 meV per atom. The value obtained for the total magnetic moment is 0.000 μB per atom. For the volume, the calculation gives 101.1 Å³ per cell. As for the density: 8.28 g cm⁻³.

Structure (POSCAR):
```
MgZnPb2
1.0
3.488 0.000 0.000
0.000 3.488 0.000
0.000 0.000 8.312
Mg Zn Pb
1 1 2
Direct
0.000 0.000 0.000
0.500 0.500 0.820
0.000 0.000 0.591
0.500 0.500 0.249
```

***

Number 1 is which compound?
Tb2CeHo3S6